Record 1
Here is an optimized crystal structure of YSeSCl2 from the Alexandria database. Energies are from PBE.

Output
energy relative to the elements, uncorrected = -0.206 eV/atom
spin magnetization = 0.123 μB per atom
space-group type = P4/mmm (123)
ρ = 3.5 g/cm³
raw total energy = -18.80 eV/f.u.
polymorph energy (0 for the lowest one) = 3.26 eV per formula unit

a = 5.1057 Å, b = 5.1057 Å, c = 4.8801 Å
α = 90.00°, β = 90.00°, γ = 90.00°
Closest atoms and distances in Å follow each position.
Positions (direct):
Y1 0.5000 0.5000 0.5000  8 Cl 3.53, 4 S 3.61
S1 0.0000 0.0000 0.5000  2 Se 2.44
Se1 0.0000 0.0000 0.0000  2 S 2.44, 4 Cl 2.55
Cl1 0.0000 0.5000 0.0000  2 Se 2.55
Cl2 0.5000 0.0000 0.0000  2 Se 2.55

---

Record 2
Here is an optimized crystal structure of YSeSCl2 from the Alexandria database. Energies are from PBE.

Output
energy relative to the elements, uncorrected = -0.858 eV/atom
spin magnetization = 0.573 μB per atom
space-group type = P4/mmm (123)
ρ = 3.0 g/cm³
raw total energy = -22.06 eV/f.u.
polymorph energy (0 for the lowest one) = 0.00 eV per formula unit

a = 5.2645 Å, b = 5.2645 Å, c = 5.4306 Å
α = 90.00°, β = 90.00°, γ = 90.00°
Closest atoms and distances in Å follow each position.
Positions (direct):
Y1 0.0000 0.0000 0.0000  4 Cl 2.63, 2 S 2.72
S1 0.0000 0.0000 0.5000  2 Y 2.72
Se1 0.5000 0.5000 0.5000  4 S 3.72, 8 Cl 3.78
Cl1 0.0000 0.5000 0.0000  2 Y 2.63
Cl2 0.5000 0.0000 0.0000  2 Y 2.63

---

Record 3
Here is an optimized crystal structure of YSeS2Cl from the Alexandria database. Energies are from PBE.

Output
energy relative to the elements, uncorrected = -0.390 eV/atom
spin magnetization = 0.434 μB per atom
space-group type = P4/mmm (123)
ρ = 3.0 g/cm³
raw total energy = -22.00 eV/f.u.
polymorph energy (0 for the lowest one) = 0.00 eV per formula unit

a = 5.3429 Å, b = 5.3429 Å, c = 5.1767 Å
α = 90.00°, β = 90.00°, γ = 90.00°
Closest atoms and distances in Å follow each position.
Positions (direct):
Y1 0.0000 0.0000 0.0000  2 Cl 2.59, 4 S 2.67
S1 0.0000 0.5000 0.0000  2 Y 2.67
S2 0.5000 0.0000 0.0000  2 Y 2.67
Se1 0.5000 0.5000 0.5000  8 S 3.72, 4 Cl 3.78
Cl1 0.0000 0.0000 0.5000  2 Y 2.59

---

Record 4
Here is an optimized crystal structure of YSeS2Cl from the Alexandria database. Energies are from PBE.

Output
energy relative to the elements, uncorrected = -0.305 eV/atom
spin magnetization = 0.000 μB per atom
space-group type = P4/mmm (123)
ρ = 3.8 g/cm³
raw total energy = -21.57 eV/f.u.
polymorph energy (0 for the lowest one) = 0.43 eV per formula unit

a = 4.8282 Å, b = 4.8282 Å, c = 4.9644 Å
α = 90.00°, β = 90.00°, γ = 90.00°
Closest atoms and distances in Å follow each position.
Positions (direct):
Y1 0.5000 0.5000 0.5000  4 Cl 3.41, 8 S 3.46
S1 0.0000 0.5000 0.0000  2 Se 2.41
S2 0.5000 0.0000 0.0000  2 Se 2.41
Se1 0.0000 0.0000 0.0000  4 S 2.41, 2 Cl 2.48
Cl1 0.0000 0.0000 0.5000  2 Se 2.48

---

Record 5
Here is an optimized crystal structure of ZrSeS2Cl from the Alexandria database. Energies are from PBE.

Output
energy relative to the elements, uncorrected = 0.345 eV/atom
spin magnetization = 0.313 μB per atom
space-group type = P4/mmm (123)
ρ = 4.0 g/cm³
raw total energy = -20.41 eV/f.u.
polymorph energy (0 for the lowest one) = 3.75 eV per formula unit

a = 4.8084 Å, b = 4.8084 Å, c = 4.8370 Å
α = 90.00°, β = 90.00°, γ = 90.00°
Closest atoms and distances in Å follow each position.
Positions (direct):
S1 0.0000 0.5000 0.0000  2 Se 2.40
S2 0.5000 0.0000 0.0000  2 Se 2.40
Se1 0.0000 0.0000 0.0000  4 S 2.40, 2 Cl 2.42
Zr1 0.5000 0.5000 0.5000  4 Cl 3.40, 8 S 3.41
Cl1 0.0000 0.0000 0.5000  2 Se 2.42

---

Record 6
Here is an optimized crystal structure of ZrSeS2Cl from the Alexandria database. Energies are from PBE.

Output
energy relative to the elements, uncorrected = -0.406 eV/atom
spin magnetization = 0.574 μB per atom
space-group type = P4/mmm (123)
ρ = 3.5 g/cm³
raw total energy = -24.16 eV/f.u.
polymorph energy (0 for the lowest one) = 0.00 eV per formula unit

a = 5.0373 Å, b = 5.0373 Å, c = 5.0956 Å
α = 90.00°, β = 90.00°, γ = 90.00°
Closest atoms and distances in Å follow each position.
Positions (direct):
S1 0.0000 0.5000 0.0000  2 Zr 2.52
S2 0.5000 0.0000 0.0000  2 Zr 2.52
Se1 0.5000 0.5000 0.5000  4 Cl 3.56, 8 S 3.58
Zr1 0.0000 0.0000 0.0000  4 S 2.52, 2 Cl 2.55
Cl1 0.0000 0.0000 0.5000  2 Zr 2.55

---

Record 7
Here is an optimized crystal structure of Si2S2Cl from the Alexandria database. Energies are from PBE.

Output
energy relative to the elements, uncorrected = -0.004 eV/atom
spin magnetization = 0.000 μB per atom
space-group type = I4/mmm (139)
ρ = 2.5 g/cm³
raw total energy = -20.97 eV/f.u.
polymorph energy (0 for the lowest one) = 0.64 eV per formula unit

a = 4.4719 Å, b = 4.4719 Å, c = 6.0498 Å
α = 68.31°, β = 68.31°, γ = 90.00°
Closest atoms and distances in Å follow each position.
Positions (direct):
S1 0.3338 0.3338 0.3325  4 Si 2.40
S2 0.6662 0.6662 0.6675  4 Si 2.40
Si1 0.7500 0.2500 0.5000  4 S 2.40
Si2 0.2500 0.7500 0.5000  4 S 2.40
Cl1 0.0000 0.0000 0.0000  8 Si 3.41, 10 S 3.44-3.60

---

Record 8
Here is an optimized crystal structure of Si2S2Cl from the Alexandria database. Energies are from PBE.

Output
energy relative to the elements, uncorrected = -0.132 eV/atom
spin magnetization = 0.000 μB per atom
space-group type = I4/mmm (139)
ρ = 3.0 g/cm³
raw total energy = -21.61 eV/f.u.
polymorph energy (0 for the lowest one) = 0.00 eV per formula unit

a = 4.5176 Å, b = 4.5176 Å, c = 5.3081 Å
α = 64.82°, β = 64.82°, γ = 90.00°
Closest atoms and distances in Å follow each position.
Positions (direct):
S1 0.7500 0.2500 0.5000  4 Si 2.41
S2 0.2500 0.7500 0.5000  4 Si 2.41
Si1 0.3492 0.3492 0.3015  4 S 2.41, 1 Si 2.56
Si2 0.6508 0.6508 0.6985  4 S 2.41, 1 Si 2.56
Cl1 0.0000 0.0000 0.0000  2 Si 2.96, 8 S 3.10

---

Record 9
Here is an optimized crystal structure of SiS3Cl from the Alexandria database. Energies are from PBE.

Output
energy relative to the elements, uncorrected = 0.523 eV/atom
spin magnetization = 0.000 μB per atom
space-group type = Pm-3m (221)
ρ = 2.8 g/cm³
raw total energy = -17.04 eV/f.u.
polymorph energy (0 for the lowest one) = 0.00 eV per formula unit

a = 4.5320 Å, b = 4.5320 Å, c = 4.5320 Å
α = 90.00°, β = 90.00°, γ = 90.00°
Closest atoms and distances in Å follow each position.
Positions (direct):
S1 0.0000 0.5000 0.0000  2 Si 2.27
S2 0.0000 0.0000 0.5000  2 Si 2.27
S3 0.5000 0.0000 0.0000  2 Si 2.27
Si1 0.0000 0.0000 0.0000  6 S 2.27
Cl1 0.5000 0.5000 0.5000  12 S 3.20

---

Record 10
Here is an optimized crystal structure of Si3SCl from the Alexandria database. Energies are from PBE.

Output
energy relative to the elements, uncorrected = 0.964 eV/atom
spin magnetization = 0.000 μB per atom
space-group type = Pm-3m (221)
ρ = 2.1 g/cm³
raw total energy = -17.42 eV/f.u.
polymorph energy (0 for the lowest one) = 0.00 eV per formula unit

a = 4.9019 Å, b = 4.9019 Å, c = 4.9019 Å
α = 90.00°, β = 90.00°, γ = 90.00°
Closest atoms and distances in Å follow each position.
Positions (direct):
S1 0.0000 0.0000 0.0000  6 Si 2.45
Si1 0.0000 0.5000 0.0000  2 S 2.45
Si2 0.0000 0.0000 0.5000  2 S 2.45
Si3 0.5000 0.0000 0.0000  2 S 2.45
Cl1 0.5000 0.5000 0.5000  12 Si 3.47

---

Record 11
Here is an optimized crystal structure of SiSCl2 from the Alexandria database. Energies are from PBE.

Output
energy relative to the elements, uncorrected = 0.412 eV/atom
spin magnetization = 0.463 μB per atom
space-group type = I-42d (122)
ρ = 1.3 g/cm³
raw total energy = -11.60 eV/f.u.
polymorph energy (0 for the lowest one) = 0.25 eV per formula unit

a = 7.6629 Å, b = 7.6629 Å, c = 7.8291 Å
α = 60.70°, β = 60.70°, γ = 90.00°
Closest atoms and distances in Å follow each position.
Positions (direct):
S1 0.0000 0.0000 0.0000  12 Cl 4.49-4.65, 4 S 4.76, 4 Si 4.76
S2 0.7500 0.2500 0.5000  12 Cl 4.49-4.65, 4 Si 4.76, 4 S 4.76
Si1 0.5000 0.5000 0.0000  4 Cl 2.38
Si2 0.2500 0.7500 0.5000  4 Cl 2.38
Cl1 0.3783 0.1250 0.2500  2 Si 2.38
Cl2 0.3717 0.6250 0.2500  2 Si 2.38
Cl3 0.3750 0.6217 0.7500  2 Si 2.38
Cl4 0.8750 0.6283 0.7500  2 Si 2.38

---

Record 12
Here is an optimized crystal structure of Si2S2Cl from the Alexandria database. Energies are from PBE.

Output
energy relative to the elements, uncorrected = 0.311 eV/atom
spin magnetization = 0.000 μB per atom
space-group type = P4/mbm (127)
ρ = 2.3 g/cm³
raw total energy = -19.39 eV/f.u.
polymorph energy (0 for the lowest one) = 2.21 eV per formula unit

a = 8.7026 Å, b = 8.7026 Å, c = 2.9723 Å
α = 90.00°, β = 90.00°, γ = 90.00°
Closest atoms and distances in Å follow each position.
Positions (direct):
S1 0.3791 0.8791 0.0000  4 Si 2.49
S2 0.8791 0.6209 0.0000  4 Si 2.49
S3 0.6209 0.1209 0.0000  4 Si 2.49
S4 0.1209 0.3791 0.0000  4 Si 2.49
Si1 0.1083 0.6083 0.5000  4 S 2.49, 1 Si 2.67
Si2 0.6083 0.8917 0.5000  4 S 2.49, 1 Si 2.67
Si3 0.8917 0.3917 0.5000  4 S 2.49, 1 Si 2.67
Si4 0.3917 0.1083 0.5000  4 S 2.49, 1 Si 2.67
Cl1 0.0000 0.0000 0.0000  2 Cl 2.97
Cl2 0.5000 0.5000 0.0000  2 Cl 2.97

---

Question: Which value of energy relative to the elements, uncorrected does entry 11 give?
Answer: 0.412 eV/atom

---

Question: The highest spin magnetization belongs to which entry?
Answer: number 6